Entry 1:
## Be22W (PBEsol)

Data for a relaxed Be22W crystal.

a b c (Å): 8.1482 8.1482 8.1482
angles (deg): 60.00 60.00 60.00
With the nearest neighbours (Å) after each atom.
Atoms (fractional coordinates):
Be (0.0000, 0.0000, 0.0000)  12 Be 2.04-2.25
Be (0.0000, 0.0000, 0.5000)  12 Be 2.04-2.25
Be (0.0000, 0.5000, 0.0000)  12 Be 2.04-2.25
Be (0.0000, 0.5000, 0.5000)  12 Be 2.45, 2 W 2.49
Be (0.0096, 0.0096, 0.7404)  12 Be 2.04-2.28
Be (0.0096, 0.7404, 0.0096)  12 Be 2.04-2.28
Be (0.0096, 0.7404, 0.7404)  12 Be 2.04-2.28
Be (0.1760, 0.1760, 0.4436)  9 Be 2.12-2.34
Be (0.1760, 0.1760, 0.7044)  9 Be 2.12-2.34
Be (0.1760, 0.4436, 0.1760)  9 Be 2.12-2.34
Be (0.1760, 0.4436, 0.7044)  9 Be 2.12-2.34
Be (0.1760, 0.7044, 0.1760)  9 Be 2.12-2.34
Be (0.1760, 0.7044, 0.4436)  9 Be 2.12-2.34
Be (0.2596, 0.2596, 0.9904)  12 Be 2.04-2.28
Be (0.2596, 0.9904, 0.2596)  12 Be 2.04-2.28
Be (0.2596, 0.9904, 0.9904)  12 Be 2.04-2.28
Be (0.2956, 0.5564, 0.8240)  9 Be 2.12-2.34
Be (0.2956, 0.8240, 0.5564)  9 Be 2.12-2.34
Be (0.2956, 0.8240, 0.8240)  9 Be 2.12-2.34
Be (0.4436, 0.1760, 0.1760)  9 Be 2.12-2.34
Be (0.4436, 0.1760, 0.7044)  9 Be 2.12-2.34
Be (0.4436, 0.7044, 0.1760)  9 Be 2.12-2.34
Be (0.5000, 0.0000, 0.0000)  12 Be 2.04-2.25
Be (0.5000, 0.0000, 0.5000)  12 Be 2.45, 2 W 2.49
Be (0.5000, 0.5000, 0.0000)  12 Be 2.45, 2 W 2.49
Be (0.5000, 0.5000, 0.5000)  12 Be 2.45, 2 W 2.49
Be (0.5564, 0.2956, 0.8240)  9 Be 2.12-2.34
Be (0.5564, 0.8240, 0.2956)  9 Be 2.12-2.34
Be (0.5564, 0.8240, 0.8240)  9 Be 2.12-2.34
Be (0.7044, 0.1760, 0.1760)  9 Be 2.12-2.34
Be (0.7044, 0.1760, 0.4436)  9 Be 2.12-2.34
Be (0.7044, 0.4436, 0.1760)  9 Be 2.12-2.34
Be (0.7404, 0.0096, 0.0096)  12 Be 2.04-2.28
Be (0.7404, 0.0096, 0.7404)  12 Be 2.04-2.28
Be (0.7404, 0.7404, 0.0096)  12 Be 2.04-2.28
Be (0.8240, 0.2956, 0.5564)  9 Be 2.12-2.34
Be (0.8240, 0.2956, 0.8240)  9 Be 2.12-2.34
Be (0.8240, 0.5564, 0.2956)  9 Be 2.12-2.34
Be (0.8240, 0.5564, 0.8240)  9 Be 2.12-2.34
Be (0.8240, 0.8240, 0.2956)  9 Be 2.12-2.34
Be (0.8240, 0.8240, 0.5564)  9 Be 2.12-2.34
Be (0.9904, 0.2596, 0.2596)  12 Be 2.04-2.28
Be (0.9904, 0.2596, 0.9904)  12 Be 2.04-2.28
Be (0.9904, 0.9904, 0.2596)  12 Be 2.04-2.28
W (0.3750, 0.3750, 0.3750)  16 Be 2.49-2.53
W (0.6250, 0.6250, 0.6250)  16 Be 2.49-2.53

## Properties
The space group is Fd-3m (227). Its total energy is -4.46 eV/atom. The energy of formation is -3 kJ/mol of atoms. The value obtained for the total magnetic moment is 0.00 μB per formula unit.


Entry 2:
## Hf3CrH (PBEsol)

Data for a relaxed Hf3CrH crystal.

a b c (Å): 4.3064 4.3064 4.3064
angles (deg): 90.00 90.00 90.00
With the nearest neighbours (Å) after each atom.
Atoms (fractional coordinates):
Hf (0.0000, 0.0000, 0.5000)  2 H 2.15
Hf (0.0000, 0.5000, 0.0000)  2 H 2.15
Hf (0.5000, 0.0000, 0.0000)  2 H 2.15
Cr (0.5000, 0.5000, 0.5000)  12 Hf 3.05
H (0.0000, 0.0000, 0.0000)  6 Hf 2.15

## Properties
The space group is Pm-3m (221). Its total energy is -8.90 eV/atom. The value obtained for the total magnetic moment is 3.28 μB per formula unit.


Entry 3:
## SrCaTi2Ir (PBEsol)

Data for a relaxed SrCaTi2Ir crystal.

a b c (Å): 4.7919 4.7919 5.0926
angles (deg): 90.00 90.00 90.00
With the nearest neighbours (Å) after each atom.
Atoms (fractional coordinates):
Sr (0.0000, 0.0000, 0.0000)  4 Ti 2.40, 2 Ir 2.55
Ca (0.5000, 0.5000, 0.5000)  4 Ir 3.39, 8 Ti 3.50
Ti (0.0000, 0.5000, 0.0000)  2 Sr 2.40
Ti (0.5000, 0.0000, 0.0000)  2 Sr 2.40
Ir (0.0000, 0.0000, 0.5000)  2 Sr 2.55

## Properties
The space group is P4/mmm (123). Its total energy is -4.52 eV/atom. The energy of formation is 152 kJ/mol of atoms. The value obtained for the total magnetic moment is 0.00 μB per formula unit.


Entry 4:
## Na2SiF (PBEsol)

Data for a relaxed Na2SiF crystal.

a b c (Å): 6.0382 6.0382 6.0382
angles (deg): 114.77 114.77 99.33
With the nearest neighbours (Å) after each atom.
Atoms (fractional coordinates):
Na (0.0183, 0.1250, 0.3933)  2 F 2.12
Na (0.3750, 0.9817, 0.1067)  2 F 2.12
Na (0.7317, 0.6250, 0.6067)  2 F 2.12
Na (0.8750, 0.2683, 0.8933)  2 F 2.12
Si (0.2500, 0.7500, 0.5000)  4 Na 3.00
Si (0.5000, 0.5000, 0.0000)  4 Na 3.00
F (0.0000, 0.0000, 0.0000)  4 Na 2.12
F (0.7500, 0.2500, 0.5000)  4 Na 2.12

## Properties
The space group is I-42d (122). Its total energy is -3.43 eV/atom. The formation energy without anion corrections is -0.81 eV per atom. The value obtained for the total magnetic moment is 0.00 μB per formula unit.


Entry 5:
## FeB2W2 (PBEsol)

Data for a relaxed FeB2W2 crystal.

a b c (Å): 5.7036 5.7036 3.1591
angles (deg): 90.00 90.00 90.00
With the nearest neighbours (Å) after each atom.
Atoms (fractional coordinates):
Fe (0.0000, 0.0000, 0.0000)  4 B 2.29
Fe (0.5000, 0.5000, 0.0000)  4 B 2.29
B (0.1145, 0.3855, 0.0000)  1 B 1.85
B (0.3855, 0.8855, 0.0000)  1 B 1.85
B (0.6145, 0.1145, 0.0000)  1 B 1.85
B (0.8855, 0.6145, 0.0000)  1 B 1.85
W (0.1778, 0.6778, 0.5000)  6 B 2.30-2.32
W (0.3222, 0.1778, 0.5000)  6 B 2.30-2.32
W (0.6778, 0.8222, 0.5000)  6 B 2.30-2.32
W (0.8222, 0.3222, 0.5000)  6 B 2.30-2.32

## Properties
The space group is P4/mbm (127). Its total energy is -10.56 eV/atom. The energy of formation is -42 kJ/mol of atoms. The value obtained for the total magnetic moment is 1.63 μB per formula unit.


Entry 6:
## Hf3BiSe (PBEsol)

Data for a relaxed Hf3BiSe crystal.

a b c (Å): 4.9216 4.9216 4.9216
angles (deg): 90.00 90.00 90.00
With the nearest neighbours (Å) after each atom.
Atoms (fractional coordinates):
Hf (0.0000, 0.0000, 0.5000)  2 Se 2.46
Hf (0.0000, 0.5000, 0.0000)  2 Se 2.46
Hf (0.5000, 0.0000, 0.0000)  2 Se 2.46
Bi (0.5000, 0.5000, 0.5000)  12 Hf 3.48
Se (0.0000, 0.0000, 0.0000)  6 Hf 2.46

## Properties
The space group is Pm-3m (221). Its total energy is -7.79 eV/atom. The formation energy without anion corrections is 0.14 eV per atom. The value obtained for the total magnetic moment is 0.00 μB per formula unit.


Entry 7:
## KTi2Ru (PBEsol)

Data for a relaxed KTi2Ru crystal.

a b c (Å): 4.6039 4.6039 4.6039
angles (deg): 60.00 60.00 60.00
With the nearest neighbours (Å) after each atom.
Atoms (fractional coordinates):
K (0.0000, 0.0000, 0.0000)  8 Ti 2.82
Ti (0.2500, 0.2500, 0.2500)  4 K 2.82, 4 Ru 2.82
Ti (0.7500, 0.7500, 0.7500)  4 K 2.82, 4 Ru 2.82
Ru (0.5000, 0.5000, 0.5000)  8 Ti 2.82

## Properties
The space group is Fm-3m (225). Its total energy is -6.17 eV/atom. The energy of formation is 79 kJ/mol of atoms. The value obtained for the total magnetic moment is 0.00 μB per formula unit.


Entry 8:
## MgAlMo (PBEsol)

Data for a relaxed MgAlMo crystal.

a b c (Å): 7.0616 6.9404 2.7477
angles (deg): 81.17 76.21 22.61
With the nearest neighbours (Å) after each atom.
Atoms (fractional coordinates):
Mg (0.0000, 0.0000, 0.0000)  4 Mg 2.75, 2 Mo 2.85, 2 Al 2.96
Al (0.3201, 0.3201, 0.6799)  4 Mo 2.65-2.96, 4 Al 2.75, 2 Mg 2.96
Mo (0.6692, 0.6692, 0.3308)  4 Al 2.65-2.96, 4 Mo 2.75, 2 Mg 2.85

## Properties
The space group is Fmm2 (42). Its total energy is -5.75 eV/atom. The energy of formation is 11 kJ/mol of atoms. The value obtained for the total magnetic moment is 0.00 μB per formula unit.


Entry 9:
## TaTi2Al2 (PBEsol)

Data for a relaxed TaTi2Al2 crystal.

a b c (Å): 7.1916 7.1916 3.1379
angles (deg): 90.00 90.00 90.00
With the nearest neighbours (Å) after each atom.
Atoms (fractional coordinates):
Ta (0.0000, 0.0000, 0.0000)  4 Al 2.84, 8 Ti 3.08, 2 Ta 3.14
Ta (0.5000, 0.5000, 0.0000)  4 Al 2.84, 8 Ti 3.08, 2 Ta 3.14
Ti (0.1752, 0.3248, 0.5000)  6 Al 2.57-2.69
Ti (0.3248, 0.8248, 0.5000)  6 Al 2.57-2.69
Ti (0.6752, 0.1752, 0.5000)  6 Al 2.57-2.69
Ti (0.8248, 0.6752, 0.5000)  6 Al 2.57-2.69
Al (0.1248, 0.6248, 0.0000)  1 Al 2.54, 6 Ti 2.57-2.69, 2 Ta 2.84
Al (0.3752, 0.1248, 0.0000)  1 Al 2.54, 6 Ti 2.57-2.69, 2 Ta 2.84
Al (0.6248, 0.8752, 0.0000)  1 Al 2.54, 6 Ti 2.57-2.69, 2 Ta 2.84
Al (0.8752, 0.3752, 0.0000)  1 Al 2.54, 6 Ti 2.57-2.69, 2 Ta 2.84

## Properties
The space group is P4/mbm (127). Its total energy is -7.71 eV/atom. The energy of formation is -22 kJ/mol of atoms. The value obtained for the total magnetic moment is 0.00 μB per formula unit.


Entry 10:
## Ba2HgAu (PBEsol)

Data for a relaxed Ba2HgAu crystal.

a b c (Å): 5.6703 5.6703 4.0242
angles (deg): 90.00 90.00 90.00
With the nearest neighbours (Å) after each atom.
Atoms (fractional coordinates):
Ba (0.0000, 0.5000, 0.0000)  4 Hg 3.48, 4 Au 3.48
Ba (0.5000, 0.0000, 0.0000)  4 Hg 3.48, 4 Au 3.48
Hg (0.0000, 0.0000, 0.5000)  8 Ba 3.48
Au (0.5000, 0.5000, 0.5000)  8 Ba 3.48

## Properties
The space group is P4/mmm (123). Its total energy is -2.76 eV/atom. The energy of formation is -54 kJ/mol of atoms. The value obtained for the total magnetic moment is 0.00 μB per formula unit.


Entry 11:
## BaReAu (PBEsol)

Data for a relaxed BaReAu crystal.

a b c (Å): 7.4268 7.4268 7.4268
angles (deg): 156.54 156.54 33.42
With the nearest neighbours (Å) after each atom.
Atoms (fractional coordinates):
Ba (0.0000, 0.0000, 0.0000)  4 Ba 3.02
Re (0.3121, 0.3121, 0.0000)  4 Au 2.72, 4 Re 3.02
Au (0.6934, 0.6934, 0.0000)  4 Re 2.72, 4 Au 3.02

## Properties
The space group is I4mm (107). Its total energy is -5.63 eV/atom. The energy of formation is 81 kJ/mol of atoms. The value obtained for the total magnetic moment is 0.00 μB per formula unit.


Entry 12:
## KRePb2 (PBEsol)

Data for a relaxed KRePb2 crystal.

a b c (Å): 5.2044 5.2044 5.2044
angles (deg): 60.00 60.00 60.00
With the nearest neighbours (Å) after each atom.
Atoms (fractional coordinates):
K (0.0000, 0.0000, 0.0000)  4 Pb 3.19, 4 Re 3.19
Re (0.7500, 0.7500, 0.7500)  4 Pb 3.19, 4 K 3.19
Pb (0.2500, 0.2500, 0.2500)  4 Pb 3.19, 4 K 3.19
Pb (0.5000, 0.5000, 0.5000)  4 Re 3.19, 4 Pb 3.19

## Properties
The space group is F-43m (216). Its total energy is -4.32 eV/atom. The energy of formation is 125 kJ/mol of atoms. The value obtained for the total magnetic moment is 2.31 μB per formula unit.